Below is a relaxed Tb4MnS7 crystal, with properties calculated at the GGA-PBE level.

abc: 6.5802 6.5802 11.5043
angles: 104.67 104.67 33.82
Fractional positions:
Tb 0.0000 0.0000 0.0000
Tb 0.1878 0.1878 0.7612
Tb 0.5726 0.5726 0.3540
Tb 0.8799 0.8799 0.5588
Mn 0.7697 0.7697 0.1437
S 0.1564 0.1564 0.2130
S 0.2185 0.2185 0.5126
S 0.3880 0.3880 0.0812
S 0.5409 0.5409 0.6165
S 0.6310 0.6310 0.9267
S 0.8454 0.8454 0.7818
S 0.9163 0.9163 0.3400

The magnetization is 5.00 μB/cell. As for the space-group type: Cm (8). The uncorrected formation energy is -1.80 eV per atom.

Below is a relaxed TbGdSi crystal, with properties calculated at the GGA-PBE level.

abc: 5.6551 5.6551 5.6551
angles: 140.20 140.20 57.55
Fractional positions:
Tb 0.0000 0.0000 0.0000
Gd 0.2934 0.2934 0.0000
Si 0.6440 0.6440 0.0000

The magnetization is 8.40 μB/cell. As for the space-group type: I4mm (107). The uncorrected formation energy is -0.35 eV per atom.

Below is a relaxed YCdAs2 crystal, with properties calculated at the GGA-PBE level.

abc: 3.1905 3.1905 9.6016
angles: 90.00 90.00 90.00
Fractional positions:
Y 0.0000 0.0000 0.0000
Cd 0.5000 0.5000 0.7416
As 0.0000 0.0000 0.5380
As 0.5000 0.5000 0.2020

The magnetization is 0.00 μB/cell. The calculation puts the calculated total energy at -17.05 eV per cell. As for the space-group type: P4mm (99).